DFT (GGA+U) results for crystalline Er5W2O12 at its relaxed geometry.

Lattice parameters (Å, degrees): 5.746 6.786 7.537 106.27 90.00 115.05
Site moments in Bohr magnetons follow the coordinates.
Fractional coordinates of all 19 atoms:
O 0.500 0.999 0.184  0.00
O 0.004 0.007 0.792  0.03
W 0.220 0.000 0.000  0.39
O 0.500 0.001 0.816  0.00
O 0.996 0.993 0.208  0.03
Er 0.313 0.627 0.181  0.01
O 0.425 0.334 0.088  0.01
W 0.780 0.000 0.000  0.39
O 0.407 0.309 0.573  0.00
Er 0.697 0.395 0.362  0.00
Er 0.303 0.605 0.638  0.00
O 0.090 0.666 0.912  0.01
O 0.098 0.691 0.427  0.00
Er 0.687 0.373 0.819  0.01
O 0.575 0.666 0.912  0.01
Er 0.000 0.000 0.500  0.01
O 0.593 0.691 0.427  0.00
O 0.910 0.334 0.088  0.01
O 0.902 0.309 0.573  0.00

Results
**Crystal system**: monoclinic
**Calculated total energy**: -8.166 eV/atom